## a
Computed, not measured: an optimized crystal structure of ZrTcTe2N at the GGA-PBE level of DFT.

The structure in POSCAR format:
```
ZrTcTe2N
1.0
5.735 0.000 0.000
0.000 5.735 0.000
0.000 0.000 3.973
Tc N Zr Te
1 1 1 2
Cartesian
2.868 2.868 1.986
0.000 0.000 1.986
0.000 0.000 0.000
2.868 0.000 0.000
0.000 2.868 0.000
```

## Properties
DOS(E_F) (states/eV/f.u.): 3.5
Space group: P4/mmm, No. 123



## b
Computed, not measured: an optimized crystal structure of ZrTcTe2N at the GGA-PBE level of DFT.

The structure in POSCAR format:
```
ZrTcTe2N
1.0
5.423 0.000 0.000
0.000 5.423 0.000
0.000 0.000 3.714
Te Tc Zr N
2 1 1 1
Cartesian
0.000 2.712 0.000
2.712 0.000 0.000
0.000 0.000 0.000
2.712 2.712 1.857
0.000 0.000 1.857
```

## Properties
DOS(E_F) (states/eV/f.u.): 5.7
Space group: P4/mmm, No. 123



On energetic grounds, b is preferred over the next structure by 46.7 kJ/mol of atoms.



## a
Computed, not measured: an optimized crystal structure of TiTc2N2 at the GGA-PBE level of DFT.

The structure in POSCAR format:
```
TiTc2N2
1.0
-3.528 1.067 0.913
-0.247 -2.902 2.437
-0.289 1.631 4.871
N Tc Ti
2 2 1
Cartesian
-1.394 -0.131 2.662
-2.670 -0.073 5.560
-2.852 0.891 3.730
-1.212 -1.094 4.492
0.000 0.000 0.000
```

## Properties
DOS(E_F) (states/eV/f.u.): 3.0
Space group: I4/mmm, No. 139



## b
Computed, not measured: an optimized crystal structure of TiTc2N2 at the GGA-PBE level of DFT.

The structure in POSCAR format:
```
TiTc2N2
1.0
-0.292 -2.809 4.825
-3.496 -3.676 -2.352
3.041 -2.193 -1.093
Tc Ti N
4 2 4
Cartesian
-0.887 -4.064 -1.291
0.140 -4.614 2.672
-1.563 -6.026 0.765
0.816 -2.652 0.616
-1.894 -3.243 1.237
0.000 0.000 0.000
-3.080 -4.928 1.320
-0.708 -1.557 1.154
-2.412 -2.975 -0.742
-1.376 -3.510 3.216
```

## Properties
DOS(E_F) (states/eV/f.u.): 4.7
Space group: P4/mbm, No. 127



On energetic grounds, b is preferred over the next structure by 66.1 kJ/mol of atoms.



## a
Computed, not measured: an optimized crystal structure of Ti2Tc2N at the GGA-PBE level of DFT.

The structure in POSCAR format:
```
Ti2Tc2N
1.0
-2.160 -1.726 -4.819
-0.211 -5.196 1.955
-4.188 0.772 1.601
N Ti Tc
2 4 4
Cartesian
-1.185 -3.461 -1.432
0.000 0.000 0.000
-2.594 -3.365 1.301
-3.710 -5.095 -0.782
-2.849 -1.055 -0.481
-3.965 -2.785 -2.564
-1.931 -4.919 -2.679
-0.884 -4.871 0.037
-1.487 -2.050 -2.901
-0.440 -2.003 -0.184
```

## Properties
DOS(E_F) (states/eV/f.u.): 6.1
Space group: P4/mbm, No. 127



## b
Computed, not measured: an optimized crystal structure of Ti2Tc2N at the GGA-PBE level of DFT.

The structure in POSCAR format:
```
Ti2Tc2N
1.0
3.298 0.000 0.000
0.000 3.298 0.000
1.649 1.649 7.114
Ti N Tc
2 1 2
Cartesian
1.649 1.649 1.230
3.298 3.298 5.884
0.000 0.000 0.000
3.298 1.649 3.557
1.649 3.298 3.557
```

## Properties
DOS(E_F) (states/eV/f.u.): 3.8
Space group: I4/mmm, No. 139



On energetic grounds, a is preferred over the next structure by 43.8 kJ/mol of atoms.



## a
Computed, not measured: an optimized crystal structure of Ti2Tc2N at the GGA-PBE level of DFT.

The structure in POSCAR format:
```
Ti2Tc2N
1.0
-3.499 1.101 0.723
-0.208 -2.489 2.782
0.174 3.303 5.479
Ti Tc N
2 2 1
Cartesian
-2.589 1.855 3.978
-0.943 0.060 5.007
-2.103 1.773 6.452
-1.429 0.142 2.532
0.000 0.000 0.000
```

## Properties
DOS(E_F) (states/eV/f.u.): 6.1
Space group: I4/mmm, No. 139



## b
Computed, not measured: an optimized crystal structure of Ti2Tc2N at the GGA-PBE level of DFT.

The structure in POSCAR format:
```
Ti2Tc2N
1.0
-5.123 -0.068 1.727
0.004 -5.403 -0.200
1.509 -0.165 4.471
Ti Tc N
4 4 2
Cartesian
-3.424 -0.955 1.121
-4.258 -3.668 1.302
-0.862 -1.803 0.224
-1.696 -4.515 0.406
-0.115 -3.715 2.395
-2.675 -4.611 3.227
-0.934 -1.024 2.771
-3.495 -1.921 3.603
0.000 0.000 0.000
-2.560 -2.735 0.763
```

## Properties
DOS(E_F) (states/eV/f.u.): 5.2
Space group: P4/mbm, No. 127



On energetic grounds, b is preferred over the next structure by 147.4 kJ/mol of atoms.



## a
Computed, not measured: an optimized crystal structure of Tl2TcN at the GGA-PBE level of DFT.

The structure in POSCAR format:
```
Tl2TcN
1.0
-1.328 3.672 2.624
1.550 4.318 -1.041
-2.963 3.201 -1.762
Tc N Tl
1 1 2
Cartesian
-1.371 5.595 -0.090
0.000 0.000 0.000
-2.056 8.393 -0.135
-0.685 2.798 -0.045
```

## Properties
DOS(E_F) (states/eV/f.u.): 1.0
Space group: Fm-3m, No. 225



## b
Computed, not measured: an optimized crystal structure of Tl2TcN at the GGA-PBE level of DFT.

The structure in POSCAR format:
```
Tl2TcN
1.0
-1.577 6.260 -2.702
-5.754 -2.710 -2.920
-5.272 2.461 -0.284
Tl N Tc
4 2 2
Cartesian
-2.936 3.843 -1.975
-10.050 5.103 -4.970
-5.199 0.051 -2.384
-7.022 3.027 -2.483
-7.346 0.763 -3.008
-3.666 1.775 -2.811
0.000 0.000 0.000
-5.257 5.249 -2.898
```

## Properties
DOS(E_F) (states/eV/f.u.): 3.5
Space group: I-42d, No. 122



On energetic grounds, b is preferred over the next structure by 27.3 kJ/mol of atoms.



## a
Computed, not measured: an optimized crystal structure of Tl3TcN at the GGA-PBE level of DFT.

The structure in POSCAR format:
```
Tl3TcN
1.0
4.841 0.000 0.000
0.000 4.841 0.000
0.000 0.000 4.841
Tl Tc N
3 1 1
Cartesian
0.000 0.000 2.421
2.421 0.000 0.000
0.000 2.421 0.000
2.421 2.421 2.421
0.000 0.000 0.000
```

## Properties
DOS(E_F) (states/eV/f.u.): 5.4
Space group: Pm-3m, No. 221



## b
Computed, not measured: an optimized crystal structure of Tl3TcN at the GGA-PBE level of DFT.

The structure in POSCAR format:
```
Tl3TcN
1.0
5.349 0.000 0.000
0.000 5.349 0.000
0.000 0.000 5.349
Tl N Tc
3 1 1
Cartesian
2.675 0.000 0.000
0.000 2.675 0.000
0.000 0.000 2.675
2.675 2.675 2.675
0.000 0.000 0.000
```

## Properties
DOS(E_F) (states/eV/f.u.): 2.7
Space group: Pm-3m, No. 221



On energetic grounds, b is preferred over the next structure by 2.2 kJ/mol of atoms.